# 1
# LuFeHgSb, relaxed, DFT PBE
# - calculated total energy (eV/atom) = -4.2214
# - magnetic moment (μB/cell) = 1.99
# - offset from the most stable computed form (meV per atom) = 125
data_LuFeHgSb
_space_group_name_H-M_alt 'P 1'
_space_group_IT_number 1
_space_group_name_Hall 'P 1'
_cell_length_a 4.942
_cell_length_b 4.942
_cell_length_c 4.942
_cell_angle_alpha 60.00
_cell_angle_beta 60.00
_cell_angle_gamma 60.00
loop_
_atom_site_label
_atom_site_type_symbol
_atom_site_fract_x
_atom_site_fract_y
_atom_site_fract_z
Fe1 Fe 0.750 0.750 0.750
Hg1 Hg 0.250 0.250 0.250
Lu1 Lu 0.500 0.500 0.500
Sb1 Sb 0.000 0.000 0.000

***

# 2
# DyTlIn, relaxed, DFT PBE
# - calculated total energy (eV/atom) = -3.3225
# - magnetic moment (μB/cell) = 0.00
# - offset from the most stable computed form (meV per atom) = 272
data_DyTlIn
_space_group_name_H-M_alt 'P 1'
_space_group_IT_number 1
_space_group_name_Hall 'P 1'
_cell_length_a 5.003
_cell_length_b 5.003
_cell_length_c 5.003
_cell_angle_alpha 60.00
_cell_angle_beta 60.00
_cell_angle_gamma 60.00
loop_
_atom_site_label
_atom_site_type_symbol
_atom_site_fract_x
_atom_site_fract_y
_atom_site_fract_z
Dy1 Dy 0.250 0.250 0.250
In1 In 0.750 0.750 0.750
Tl1 Tl 0.000 0.000 0.000

***

# 3
# ScCuNiSn, relaxed, DFT PBE
# - calculated total energy (eV/atom) = -5.1128
# - magnetic moment (μB/cell) = 0.00
# - offset from the most stable computed form (meV per atom) = 259
data_ScCuNiSn
_space_group_name_H-M_alt 'P 1'
_space_group_IT_number 1
_space_group_name_Hall 'P 1'
_cell_length_a 4.528
_cell_length_b 4.528
_cell_length_c 4.528
_cell_angle_alpha 60.00
_cell_angle_beta 60.00
_cell_angle_gamma 60.00
loop_
_atom_site_label
_atom_site_type_symbol
_atom_site_fract_x
_atom_site_fract_y
_atom_site_fract_z
Cu1 Cu 0.750 0.750 0.750
Ni1 Ni 0.000 0.000 0.000
Sc1 Sc 0.250 0.250 0.250
Sn1 Sn 0.500 0.500 0.500